No. 1
# Na2MnSiNi, optimized geometry, DFT PBEsol
data_Na2MnSiNi
_cell_length_a 5.011
_cell_length_b 5.011
_cell_length_c 4.301
_cell_angle_alpha 90.00
_cell_angle_beta 90.00
_cell_angle_gamma 90.00
_symmetry_space_group_name_H-M 'P 4/m m m'
_symmetry_Int_Tables_number 123
_symmetry_space_group_name_Hall '-P 4 2'
loop_
_atom_site_label
_atom_site_type_symbol
_atom_site_fract_x
_atom_site_fract_y
_atom_site_fract_z
Na1 Na 0.000 0.500 0.000
Mn1 Mn 0.000 0.000 0.500
Si1 Si 0.500 0.500 0.500
Ni1 Ni 0.500 0.500 0.000
# E_form (uncorrected) ... 0.73 eV per atom



No. 2
# GaSnHg2N, optimized geometry, DFT PBEsol
data_GaSnHg2N
_cell_length_a 5.604
_cell_length_b 5.604
_cell_length_c 5.305
_cell_angle_alpha 90.00
_cell_angle_beta 90.00
_cell_angle_gamma 90.00
_symmetry_space_group_name_H-M 'P 4/m m m'
_symmetry_Int_Tables_number 123
_symmetry_space_group_name_Hall '-P 4 2'
loop_
_atom_site_label
_atom_site_type_symbol
_atom_site_fract_x
_atom_site_fract_y
_atom_site_fract_z
Ga1 Ga 0.000 0.000 0.000
Sn1 Sn 0.000 0.000 0.500
Hg1 Hg 0.000 0.500 0.500
N1 N 0.500 0.500 0.000
# E_form (uncorrected) ... 1.35 eV per atom



No. 3
# LaReSb2, optimized geometry, DFT PBEsol
data_LaReSb2
_cell_length_a 7.053
_cell_length_b 7.053
_cell_length_c 7.053
_cell_angle_alpha 90.00
_cell_angle_beta 90.00
_cell_angle_gamma 90.00
_symmetry_space_group_name_H-M 'F m -3 m'
_symmetry_Int_Tables_number 225
_symmetry_space_group_name_Hall '-F 4 2 3'
loop_
_atom_site_label
_atom_site_type_symbol
_atom_site_fract_x
_atom_site_fract_y
_atom_site_fract_z
La1 La 0.000 0.000 0.000
Re1 Re 0.000 0.000 0.500
Sb1 Sb 0.250 0.250 0.250
# E_form (uncorrected) ... -0.02 eV per atom
# Excess energy over the best structure of this formula in the dataset ... 0.0 meV/atom



No. 4
# Y5Mg, optimized geometry, DFT PBEsol
data_Y5Mg
_cell_length_a 3.545
_cell_length_b 3.545
_cell_length_c 14.052
_cell_angle_alpha 90.00
_cell_angle_beta 90.00
_cell_angle_gamma 90.00
_symmetry_space_group_name_H-M 'P 4/m m m'
_symmetry_Int_Tables_number 123
_symmetry_space_group_name_Hall '-P 4 2'
loop_
_atom_site_label
_atom_site_type_symbol
_atom_site_fract_x
_atom_site_fract_y
_atom_site_fract_z
Y1 Y 0.000 0.000 0.000
Y2 Y 0.000 0.000 0.348
Y3 Y 0.500 0.500 0.175
Mg1 Mg 0.500 0.500 0.500
# Excess energy over the best structure of this formula in the dataset ... 0.0 meV/atom



No. 5
# LiAlNi2, optimized geometry, DFT PBEsol
data_LiAlNi2
_cell_length_a 2.826
_cell_length_b 2.826
_cell_length_c 5.556
_cell_angle_alpha 90.00
_cell_angle_beta 90.00
_cell_angle_gamma 90.00
_symmetry_space_group_name_H-M 'P 4/m m m'
_symmetry_Int_Tables_number 123
_symmetry_space_group_name_Hall '-P 4 2'
loop_
_atom_site_label
_atom_site_type_symbol
_atom_site_fract_x
_atom_site_fract_y
_atom_site_fract_z
Li1 Li 0.000 0.000 0.000
Al1 Al 0.000 0.000 0.500
Ni1 Ni 0.500 0.500 0.248
# Final energy ... -19.7 eV/cell



No. 6
# Co2CuHg, optimized geometry, DFT PBEsol
data_Co2CuHg
_cell_length_a 5.931
_cell_length_b 5.931
_cell_length_c 5.931
_cell_angle_alpha 90.00
_cell_angle_beta 90.00
_cell_angle_gamma 90.00
_symmetry_space_group_name_H-M 'F -4 3 m'
_symmetry_Int_Tables_number 216
_symmetry_space_group_name_Hall 'F -4 2 3'
loop_
_atom_site_label
_atom_site_type_symbol
_atom_site_fract_x
_atom_site_fract_y
_atom_site_fract_z
Co1 Co 0.000 0.000 0.000
Co2 Co 0.250 0.250 0.250
Cu1 Cu 0.250 0.250 0.750
Hg1 Hg 0.000 0.000 0.500
# Final energy ... -75.4 eV/cell



No. 7
# Be3PdAu, optimized geometry, DFT PBEsol
data_Be3PdAu
_cell_length_a 4.214
_cell_length_b 4.214
_cell_length_c 4.214
_cell_angle_alpha 90.00
_cell_angle_beta 90.00
_cell_angle_gamma 90.00
_symmetry_space_group_name_H-M 'P m -3 m'
_symmetry_Int_Tables_number 221
_symmetry_space_group_name_Hall '-P 4 2 3'
loop_
_atom_site_label
_atom_site_type_symbol
_atom_site_fract_x
_atom_site_fract_y
_atom_site_fract_z
Be1 Be 0.000 0.000 0.500
Pd1 Pd 0.500 0.500 0.500
Au1 Au 0.000 0.000 0.000
# Final energy ... -19.1 eV/cell



No. 8
# Y2Hf2Mg, optimized geometry, DFT PBEsol
data_Y2Hf2Mg
_cell_length_a 4.310
_cell_length_b 4.310
_cell_length_c 14.397
_cell_angle_alpha 90.00
_cell_angle_beta 90.00
_cell_angle_gamma 90.00
_symmetry_space_group_name_H-M 'I 4/m m m'
_symmetry_Int_Tables_number 139
_symmetry_space_group_name_Hall '-I 4 2'
loop_
_atom_site_label
_atom_site_type_symbol
_atom_site_fract_x
_atom_site_fract_y
_atom_site_fract_z
Y1 Y 0.000 0.500 0.250
Hf1 Hf 0.000 0.000 0.088
Mg1 Mg 0.000 0.000 0.500
# Final energy ... -65.5 eV/cell



No. 9
# Li2CuNi, optimized geometry, DFT PBEsol
data_Li2CuNi
_cell_length_a 2.666
_cell_length_b 4.095
_cell_length_c 8.408
_cell_angle_alpha 90.00
_cell_angle_beta 90.00
_cell_angle_gamma 90.00
_symmetry_space_group_name_H-M 'C m m m'
_symmetry_Int_Tables_number 65
_symmetry_space_group_name_Hall '-C 2 2'
loop_
_atom_site_label
_atom_site_type_symbol
_atom_site_fract_x
_atom_site_fract_y
_atom_site_fract_z
Li1 Li 0.000 0.000 0.241
Cu1 Cu 0.000 0.500 0.500
Ni1 Ni 0.000 0.500 0.000
# Excess energy over the best structure of this formula in the dataset ... 8.4 meV/atom



No. 10
# KIr2W, optimized geometry, DFT PBEsol
data_KIr2W
_cell_length_a 6.162
_cell_length_b 7.874
_cell_length_c 2.722
_cell_angle_alpha 90.00
_cell_angle_beta 90.00
_cell_angle_gamma 90.00
_symmetry_space_group_name_H-M 'C m m m'
_symmetry_Int_Tables_number 65
_symmetry_space_group_name_Hall '-C 2 2'
loop_
_atom_site_label
_atom_site_type_symbol
_atom_site_fract_x
_atom_site_fract_y
_atom_site_fract_z
K1 K 0.000 0.000 0.000
Ir1 Ir 0.250 0.250 0.500
W1 W 0.000 0.500 0.000
# Excess energy over the best structure of this formula in the dataset ... 669.1 meV/atom



No. 11
# Tc5Mo, optimized geometry, DFT PBEsol
data_Tc5Mo
_cell_length_a 2.7269
_cell_length_b 2.7269
_cell_length_c 13.2131
_cell_angle_alpha 90.00
_cell_angle_beta 90.00
_cell_angle_gamma 120.00
_symmetry_space_group_name_H-M 'P -6 m 2'
_symmetry_Int_Tables_number 187
_symmetry_space_group_name_Hall 'P -6 2'
loop_
_atom_site_label
_atom_site_type_symbol
_atom_site_fract_x
_atom_site_fract_y
_atom_site_fract_z
Tc1 Tc 0.0000 0.0000 0.0000
Tc2 Tc 0.0000 0.0000 0.3267
Tc3 Tc 0.6667 0.3333 0.1649
Mo1 Mo 0.6667 0.3333 0.5000
# Excess energy over the best structure of this formula in the dataset ... 6.9 meV/atom



No. 12
# ZrTa2Rh, optimized geometry, DFT PBEsol
data_ZrTa2Rh
_cell_length_a 3.0347
_cell_length_b 3.0347
_cell_length_c 26.8442
_cell_angle_alpha 90.00
_cell_angle_beta 90.00
_cell_angle_gamma 120.00
_symmetry_space_group_name_H-M 'R 3 m'
_symmetry_Int_Tables_number 160
_symmetry_space_group_name_Hall 'R 3 -2"'
loop_
_atom_site_label
_atom_site_type_symbol
_atom_site_fract_x
_atom_site_fract_y
_atom_site_fract_z
Zr1 Zr 0.0000 0.0000 0.0000
Ta1 Ta 0.0000 0.0000 0.5097
Ta2 Ta 0.0000 0.0000 0.7577
Rh1 Rh 0.0000 0.0000 0.2507
# Final energy ... -127.5 eV/cell



Question: Which formula does entry 11 have?
Answer: Tc5Mo



Question: Which formula does entry 7 have?
Answer: Be3PdAu